1.
A relaxed structure of PrHo2InO. Source: the Alexandria database, functional PBE.

a = 4.7670 Å, b = 4.7670 Å, c = 5.0373 Å
α = 90.00°, β = 90.00°, γ = 90.00°
With the nearest neighbours (Å) after each atom.
Space group P4/mmm (No. 123)
Inequivalent atoms, fractional coordinates:
1 Pr 0.0000 0.0000 0.0000 [1 per cell]  2 O 2.52
2 Ho 0.0000 0.5000 0.5000 [2 per cell]  2 O 2.38
3 In 0.5000 0.5000 0.0000 [1 per cell]  4 Pr 3.37, 8 Ho 3.47
4 O 0.0000 0.0000 0.5000 [1 per cell]  4 Ho 2.38, 2 Pr 2.52

Computed properties:
total magnetization: 0.0 μB/f.u.
formation energy without anion corrections: -1.40 eV per atom

2.
A relaxed structure of HoPuInO6. Source: the Alexandria database, functional PBE.

a = 5.6726 Å, b = 5.6726 Å, c = 9.0927 Å
α = 90.00°, β = 90.00°, γ = 120.00°
With the nearest neighbours (Å) after each atom.
Space group P-31c (No. 163)
Inequivalent atoms, fractional coordinates:
1 Ho 0.3333 0.6667 0.2500 [2 per cell]  6 O 2.26
2 Pu 0.3333 0.6667 0.7500 [2 per cell]  6 O 2.08
3 In 0.0000 0.0000 0.0000 [2 per cell]  6 O 2.26
4 O 0.0247 0.3510 0.6303 [12 per cell]  1 Pu 2.08, 1 In 2.26, 1 Ho 2.26

Computed properties:
total magnetization: 2.0 μB/f.u.
formation energy without anion corrections: -2.44 eV per atom

3.
A relaxed structure of Rb3Ho2InO6. Source: the Alexandria database, functional PBE.

a = 5.9921 Å, b = 10.3789 Å, c = 6.8425 Å
α = 90.00°, β = 106.96°, γ = 90.00°
With the nearest neighbours (Å) after each atom.
Space group C2/m (No. 12)
Inequivalent atoms, fractional coordinates:
1 Rb 0.0000 0.0000 0.0000 [2 per cell]  6 O 2.91-2.92
2 Rb 0.0000 0.3351 0.0000 [4 per cell]  6 O 2.90-2.93
3 Ho 0.0000 0.1667 0.5000 [4 per cell]  6 O 2.31
4 In 0.0000 0.5000 0.5000 [2 per cell]  6 O 2.30
5 O 0.2246 0.3343 0.6766 [8 per cell]  1 In 2.30, 2 Ho 2.31
6 O 0.2275 0.0000 0.6764 [4 per cell]  1 In 2.30, 2 Ho 2.31

Computed properties:
total magnetization: 0.0 μB/f.u.
formation energy without anion corrections: -2.28 eV per atom

4.
A relaxed structure of Rb3HoIn2O6. Source: the Alexandria database, functional PBE.

a = 5.9342 Å, b = 10.2789 Å, c = 6.8099 Å
α = 90.00°, β = 106.87°, γ = 90.00°
With the nearest neighbours (Å) after each atom.
Space group C2/m (No. 12)
Inequivalent atoms, fractional coordinates:
1 Rb 0.0000 0.0000 0.0000 [2 per cell]  6 O 2.87-2.90
2 Rb 0.0000 0.3316 0.0000 [4 per cell]  6 O 2.86-2.91
3 Ho 0.0000 0.5000 0.5000 [2 per cell]  6 O 2.31
4 In 0.0000 0.1666 0.5000 [4 per cell]  6 O 2.28
5 O 0.2213 0.0000 0.6773 [4 per cell]  2 In 2.28, 1 Ho 2.31
6 O 0.2280 0.3311 0.6772 [8 per cell]  2 In 2.28, 1 Ho 2.31

Computed properties:
total magnetization: 0.0 μB/f.u.
formation energy without anion corrections: -1.87 eV per atom

5.
A relaxed structure of Rb4Ho3InO8. Source: the Alexandria database, functional PBE.

a = 6.9362 Å, b = 6.9362 Å, c = 19.6484 Å
α = 90.00°, β = 90.00°, γ = 120.00°
With the nearest neighbours (Å) after each atom.
Space group R-3m (No. 166, hexagonal axes)
Inequivalent atoms, fractional coordinates:
1 Rb 0.0000 0.0000 0.0000 [3 per cell]  6 O 2.92
2 Rb 0.0000 0.5000 0.0000 [9 per cell]  6 O 2.91-2.93
3 Ho 0.0000 0.5000 0.5000 [9 per cell]  6 O 2.30-2.32
4 In 0.0000 0.0000 0.5000 [3 per cell]  6 O 2.31
5 O 0.0000 0.0000 0.2245 [6 per cell]  3 Ho 2.30
6 O 0.0010 0.5005 0.2257 [18 per cell]  1 In 2.31, 2 Ho 2.32

Computed properties:
total magnetization: 0.0 μB/f.u.
formation energy without anion corrections: -2.39 eV per atom

6.
A relaxed structure of HoIn2ReO8. Source: the Alexandria database, functional PBE.

a = 6.9346 Å, b = 7.0952 Å, c = 6.5698 Å
α = 90.00°, β = 90.00°, γ = 90.00°
With the nearest neighbours (Å) after each atom.
Space group Cmmm (No. 65)
Inequivalent atoms, fractional coordinates:
1 Ho 0.0000 0.0000 0.0000 [2 per cell]  6 O 2.13-2.31
2 In 0.0000 0.5000 0.2494 [4 per cell]  6 O 2.11-2.27
3 Re 0.0000 0.0000 0.5000 [2 per cell]  6 O 1.88-1.96
4 O 0.0000 0.1824 0.2918 [8 per cell]  1 Re 1.88
5 O 0.1922 0.5000 0.0000 [4 per cell]  2 In 2.11, 1 Ho 2.13
6 O 0.2177 0.5000 0.5000 [4 per cell]  1 Re 1.96

Computed properties:
total magnetization: 0.0 μB/f.u.
formation energy without anion corrections: -1.93 eV per atom

7.
A relaxed structure of HoIn2RuO8. Source: the Alexandria database, functional PBE.

a = 4.9414 Å, b = 6.5722 Å, c = 4.9497 Å
α = 90.00°, β = 91.03°, γ = 90.00°
With the nearest neighbours (Å) after each atom.
Space group P2/m (No. 10)
Inequivalent atoms, fractional coordinates:
1 Ho 0.0000 0.0000 0.0000 [1 per cell]  6 O 2.14-2.30
2 In 0.5000 0.2517 0.5000 [2 per cell]  6 O 2.12-2.24
3 Ru 0.0000 0.5000 0.0000 [1 per cell]  6 O 1.91-1.96
4 O 0.1861 0.2883 0.8165 [4 per cell]  1 Ru 1.91
5 O 0.2816 0.5000 0.2843 [2 per cell]  1 Ru 1.96
6 O 0.3074 0.0000 0.3106 [2 per cell]  2 In 2.12, 1 Ho 2.14

Computed properties:
total magnetization: 1.1 μB/f.u.
formation energy without anion corrections: -1.54 eV per atom

8.
A relaxed structure of HoInSO2. Source: the Alexandria database, functional PBE.

a = 6.6888 Å, b = 4.0659 Å, c = 7.3306 Å
α = 90.00°, β = 115.47°, γ = 90.00°
With the nearest neighbours (Å) after each atom.
Space group P2_1/m (No. 11)
Inequivalent atoms, fractional coordinates:
1 Ho 0.2334 0.2500 0.0537 [2 per cell]  4 O 2.23-2.29
2 In 0.2834 0.7500 0.4594 [2 per cell]  4 O 2.17-2.23
3 S 0.2750 0.7500 0.7890 [2 per cell]  1 In 2.44
4 O 0.1319 0.7500 0.1320 [2 per cell]  1 In 2.17, 3 Ho 2.23-2.29
5 O 0.3475 0.2500 0.3939 [2 per cell]  3 In 2.17-2.23, 1 Ho 2.27

Computed properties:
total magnetization: 0.0 μB/f.u.
formation energy without anion corrections: -2.16 eV per atom

9.
A relaxed structure of Ho2ScInO. Source: the Alexandria database, functional PBE.

a = 4.7661 Å, b = 4.7661 Å, c = 4.4720 Å
α = 90.00°, β = 90.00°, γ = 90.00°
With the nearest neighbours (Å) after each atom.
Space group P4/mmm (No. 123)
Inequivalent atoms, fractional coordinates:
1 Ho 0.0000 0.5000 0.0000 [2 per cell]  2 O 2.38
2 Sc 0.0000 0.0000 0.5000 [1 per cell]  2 O 2.24
3 In 0.5000 0.5000 0.5000 [1 per cell]  8 Ho 3.27, 4 Sc 3.37
4 O 0.0000 0.0000 0.0000 [1 per cell]  2 Sc 2.24, 4 Ho 2.38

Computed properties:
total magnetization: 0.0 μB/f.u.
formation energy without anion corrections: -1.43 eV per atom

10.
A relaxed structure of Sm12HoIn4O3. Source: the Alexandria database, functional PBE.

a = 10.1966 Å, b = 10.1966 Å, c = 10.1966 Å
α = 90.00°, β = 90.00°, γ = 90.00°
With the nearest neighbours (Å) after each atom.
Space group Im-3m (No. 229)
Inequivalent atoms, fractional coordinates:
1 Sm 0.0000 0.0000 0.2752 [12 per cell]  1 O 2.29
2 Sm 0.0000 0.2500 0.5000 [12 per cell]  2 O 2.55
3 Ho 0.0000 0.0000 0.0000 [2 per cell]  6 Sm 2.81
4 In 0.2500 0.2500 0.2500 [8 per cell]  12 Sm 3.61
5 O 0.0000 0.0000 0.5000 [6 per cell]  6 Sm 2.29-2.55

Computed properties:
total magnetization: 0.0 μB/f.u.
formation energy without anion corrections: -0.79 eV per atom

11.
A relaxed structure of Ho4InSnO. Source: the Alexandria database, functional PBE.

a = 6.4621 Å, b = 16.6936 Å, c = 6.4515 Å
α = 90.00°, β = 90.00°, γ = 90.00°
With the nearest neighbours (Å) after each atom.
Space group Cmcm (No. 63)
Inequivalent atoms, fractional coordinates:
1 Ho 0.0000 0.0718 0.2500 [4 per cell]  3 In 3.08-3.30, 1 O 3.27, 2 Sn 3.29
2 Ho 0.0000 0.4176 0.2500 [4 per cell]  1 O 2.50
3 Ho 0.2500 0.2500 0.0000 [8 per cell]  2 O 2.30
4 In 0.0000 0.1129 0.7500 [4 per cell]  9 Ho 3.08-3.30
5 Sn 0.0000 0.3901 0.7500 [4 per cell]  9 Ho 3.21-3.29
6 O 0.0000 0.2677 0.2500 [4 per cell]  5 Ho 2.30-2.50

Computed properties:
total magnetization: 0.0 μB/f.u.
formation energy without anion corrections: -1.20 eV per atom

12.
A relaxed structure of SrHoIn4O8. Source: the Alexandria database, functional PBE.

a = 6.7342 Å, b = 6.7342 Å, c = 16.6815 Å
α = 90.00°, β = 90.00°, γ = 120.00°
With the nearest neighbours (Å) after each atom.
Space group R3m (No. 160, hexagonal axes)
Inequivalent atoms, fractional coordinates:
1 Sr 0.0000 0.0000 0.0000 [3 per cell]  4 O 2.35-2.39
2 Ho 0.0000 0.0000 0.3735 [3 per cell]  6 O 2.24-2.35
3 In 0.0000 0.0000 0.7506 [3 per cell]  4 O 2.23-2.32
4 In 0.0035 0.5018 0.8757 [9 per cell]  6 O 2.21-2.30
5 O 0.0000 0.0000 0.1435 [3 per cell]  3 In 2.21, 1 Sr 2.39
6 O 0.0000 0.0000 0.6118 [3 per cell]  4 In 2.28-2.32
7 O 0.0244 0.5122 0.1305 [9 per cell]  3 In 2.23-2.30, 1 Ho 2.35
8 O 0.1892 0.3784 0.9519 [9 per cell]  2 In 2.21, 1 Ho 2.24, 1 Sr 2.35

Computed properties:
total magnetization: 0.0 μB/f.u.
formation energy without anion corrections: -2.02 eV per atom

13.
A relaxed structure of HoInTeO6. Source: the Alexandria database, functional PBE.

a = 5.5200 Å, b = 5.5200 Å, c = 9.0067 Å
α = 90.00°, β = 90.00°, γ = 120.00°
With the nearest neighbours (Å) after each atom.
Space group P-31c (No. 163)
Inequivalent atoms, fractional coordinates:
1 Ho 0.3333 0.6667 0.2500 [2 per cell]  6 O 2.25
2 In 0.0000 0.0000 0.0000 [2 per cell]  6 O 2.25
3 Te 0.3333 0.6667 0.7500 [2 per cell]  6 O 1.96
4 O 0.0403 0.3667 0.6299 [12 per cell]  1 Te 1.96

Computed properties:
total magnetization: 0.0 μB/f.u.
formation energy without anion corrections: -1.82 eV per atom

14.
A relaxed structure of HoInTe2O8. Source: the Alexandria database, functional PBE.

a = 7.1930 Å, b = 7.1930 Å, c = 6.9379 Å
α = 90.00°, β = 90.00°, γ = 90.00°
With the nearest neighbours (Å) after each atom.
Space group I-4m2 (No. 119)
Inequivalent atoms, fractional coordinates:
1 Ho 0.0000 0.0000 0.0000 [2 per cell]  8 O 2.30-2.45
2 In 0.0000 0.5000 0.2500 [2 per cell]  4 O 2.22
3 Te 0.0000 0.0000 0.5000 [2 per cell]  4 O 2.02
4 Te 0.0000 0.5000 0.7500 [2 per cell]  4 O 1.87
5 O 0.0000 0.1940 0.2897 [8 per cell]  1 Te 2.02, 1 In 2.22
6 O 0.0000 0.3135 0.9382 [8 per cell]  1 Te 1.87

Computed properties:
total magnetization: 0.0 μB/f.u.
formation energy without anion corrections: -1.46 eV per atom

15.
A relaxed structure of Ho2TmInO. Source: the Alexandria database, functional PBE.

a = 4.7629 Å, b = 4.7629 Å, c = 4.6895 Å
α = 90.00°, β = 90.00°, γ = 90.00°
With the nearest neighbours (Å) after each atom.
Space group P4/mmm (No. 123)
Inequivalent atoms, fractional coordinates:
1 Ho 0.0000 0.5000 0.0000 [2 per cell]  2 O 2.38
2 Tm 0.0000 0.0000 0.5000 [1 per cell]  2 O 2.34
3 In 0.5000 0.5000 0.5000 [1 per cell]  8 Ho 3.34, 4 Tm 3.37
4 O 0.0000 0.0000 0.0000 [1 per cell]  2 Tm 2.34, 4 Ho 2.38

Computed properties:
total magnetization: 0.0 μB/f.u.
formation energy without anion corrections: -1.41 eV per atom

16.
A relaxed structure of HoUInO6. Source: the Alexandria database, functional PBE.

a = 5.5540 Å, b = 5.5540 Å, c = 9.7610 Å
α = 90.00°, β = 90.00°, γ = 120.00°
With the nearest neighbours (Å) after each atom.
Space group P-31c (No. 163)
Inequivalent atoms, fractional coordinates:
1 Ho 0.0000 0.0000 0.0000 [2 per cell]  6 O 2.30
2 U 0.3333 0.6667 0.2500 [2 per cell]  6 O 2.10
3 In 0.3333 0.6667 0.7500 [2 per cell]  6 O 2.21
4 O 0.0143 0.3487 0.1334 [12 per cell]  1 U 2.10, 1 In 2.21, 1 Ho 2.30

Computed properties:
total magnetization: 0.0 μB/f.u.
formation energy without anion corrections: -2.77 eV per atom